# YIn2Te

A relaxed structure of YIn2Te (PBE, the Alexandria database).

```
data_YIn2Te
_chemical_formula_sum 'Y4 In8 Te4'
_cell_length_a 8.748
_cell_length_b 8.748
_cell_length_c 6.203
_cell_angle_alpha 90.00
_cell_angle_beta 90.00
_cell_angle_gamma 90.00
_symmetry_space_group_name_H-M 'I -4 2 d'
_symmetry_Int_Tables_number 122
_symmetry_space_group_name_Hall 'I -4 2bw'
loop_
_atom_site_label
_atom_site_type_symbol
_atom_site_fract_x
_atom_site_fract_y
_atom_site_fract_z
_atom_site_occupancy
Y1 Y 0.000 0.000 0.000 1
In1 In 0.244 0.250 0.625 1
Te1 Te 0.000 0.000 0.500 1
```

Results
formation energy without anion corrections: -1.13 eV/f.u.